Entry one
CePrBi2: relaxed, PBE-GGA.

As for the calculated volume: 35.61 Å³ per atom.

Cell: 4.5718 4.5718 23.6056 Å, 90.00 90.00 120.00°
Space group R3m (No. 160, hexagonal axes)
Inequivalent atoms, fractional coordinates:
Ce1 0.0000 0.0000 0.0000
Pr1 0.0000 0.0000 0.8284
Bi1 0.0000 0.0000 0.4117
Bi2 0.0000 0.0000 0.5836

---

Entry two
CePrBi2: relaxed, PBE-GGA.

As for the calculated volume: 34.90 Å³ per atom.

Cell: 4.6210 4.6210 22.6474 Å, 90.00 90.00 120.00°
Space group R-3m (No. 166, hexagonal axes)
Inequivalent atoms, fractional coordinates:
Ce1 0.0000 0.0000 0.0000
Pr1 0.0000 0.0000 0.5000
Bi1 0.0000 0.0000 0.2515

---

Quick one: most stable of them? entry two

---

Entry one
Ce5Bi2Pt: relaxed, PBE-GGA.

As for the calculated volume: 39.62 Å³ per atom.

Cell: 5.7296 16.5664 13.3556 Å, 90.00 90.00 90.00°
Space group Cmcm (No. 63)
Inequivalent atoms, fractional coordinates:
Ce1 0.0000 0.0501 0.0930
Ce2 0.0000 0.2805 0.0772
Ce3 0.0000 0.3133 0.7500
Bi1 0.0000 0.1433 0.6147
Pt1 0.0000 0.1684 0.2500

---

Entry two
Ce5Bi2Pt: relaxed, PBE-GGA.

As for the calculated volume: 29.93 Å³ per atom.

Cell: 8.0746 12.6069 4.7044 Å, 90.00 90.00 90.00°
Space group Pbam (No. 55)
Inequivalent atoms, fractional coordinates:
Ce1 0.0000 0.0000 0.0000
Ce2 0.1330 0.2953 0.0000
Ce3 0.2048 0.5591 0.5000
Bi1 0.0859 0.8232 0.5000
Pt1 0.0000 0.5000 0.0000

---

Quick one: most stable of them? entry two

---

Entry one
Ce2BiPt9: relaxed, PBE-GGA.

As for the calculated volume: 18.17 Å³ per atom.

Cell: 4.1716 4.1716 12.5308 Å, 90.00 90.00 90.00°
Space group P4/mmm (No. 123)
Inequivalent atoms, fractional coordinates:
Ce1 0.0000 0.0000 0.1661
Bi1 0.0000 0.0000 0.5000
Pt1 0.0000 0.5000 0.0000
Pt2 0.0000 0.5000 0.3286
Pt3 0.5000 0.5000 0.1670
Pt4 0.5000 0.5000 0.5000

---

Entry two
Ce2BiPt9: relaxed, PBE-GGA.

As for the calculated volume: 19.16 Å³ per atom.

Cell: 5.4496 5.4496 26.8219 Å, 90.00 90.00 120.00°
Space group R-3m (No. 166, hexagonal axes)
Inequivalent atoms, fractional coordinates:
Ce1 0.0000 0.0000 0.1343
Bi1 0.0000 0.0000 0.0000
Pt1 0.0000 0.0000 0.3322
Pt2 0.0000 0.0000 0.5000
Pt3 0.0041 0.5020 0.9136

---

Quick one: most stable of them? entry one

---

Entry one
CePuBi2: relaxed, PBE-GGA.

As for the calculated volume: 29.81 Å³ per atom.

Cell: 3.7804 3.7804 8.3421 Å, 90.00 90.00 90.00°
Space group P4/mmm (No. 123)
Inequivalent atoms, fractional coordinates:
Ce1 0.0000 0.0000 0.0000
Pu1 0.0000 0.0000 0.5000
Bi1 0.5000 0.5000 0.2526

---

Entry two
CePuBi2: relaxed, PBE-GGA.

As for the calculated volume: 29.70 Å³ per atom.

Cell: 5.9184 5.9184 3.3921 Å, 90.00 90.00 90.00°
Space group P4/mmm (No. 123)
Inequivalent atoms, fractional coordinates:
Ce1 0.0000 0.0000 0.0000
Pu1 0.5000 0.5000 0.0000
Bi1 0.0000 0.5000 0.5000

---

Entry three
CePuBi2: relaxed, PBE-GGA.

As for the calculated volume: 33.69 Å³ per atom.

Cell: 4.5821 4.5821 22.2357 Å, 90.00 90.00 120.00°
Space group R-3m (No. 166, hexagonal axes)
Inequivalent atoms, fractional coordinates:
Ce1 0.0000 0.0000 0.0000
Pu1 0.0000 0.0000 0.5000
Bi1 0.0000 0.0000 0.2494

---

Quick one: most stable of them? entry three

---

Entry one
CePuBi2: relaxed, PBE-GGA.

As for the calculated volume: 34.38 Å³ per atom.

Cell: 4.5072 4.5072 23.4523 Å, 90.00 90.00 120.00°
Space group R3m (No. 160, hexagonal axes)
Inequivalent atoms, fractional coordinates:
Ce1 0.0000 0.0000 0.0000
Pu1 0.0000 0.0000 0.8298
Bi1 0.0000 0.0000 0.2458
Bi2 0.0000 0.0000 0.4172

---

Entry two
CePuBi2: relaxed, PBE-GGA.

As for the calculated volume: 32.84 Å³ per atom.

Cell: 4.4613 24.9644 4.7178 Å, 90.00 90.00 90.00°
Space group Cmcm (No. 63)
Inequivalent atoms, fractional coordinates:
Ce1 0.0000 0.1859 0.2500
Pu1 0.0000 0.4473 0.2500
Bi1 0.0000 0.0575 0.2500
Bi2 0.0000 0.3161 0.2500

---

Quick one: most stable of them? entry two

---

Entry one
CePuBiSb: relaxed, PBE-GGA.

As for the calculated volume: 32.50 Å³ per atom.

Cell: 4.5250 4.5250 21.9949 Å, 90.00 90.00 120.00°
Space group R3m (No. 160, hexagonal axes)
Inequivalent atoms, fractional coordinates:
Ce1 0.0000 0.0000 0.0000
Pu1 0.0000 0.0000 0.5050
Bi1 0.0000 0.0000 0.7532
Sb1 0.0000 0.0000 0.2516

---

Entry two
CePuBiSb: relaxed, PBE-GGA.

As for the calculated volume: 28.77 Å³ per atom.

Cell: 7.7215 7.7215 7.7215 Å, 90.00 90.00 90.00°
Space group F-43m (No. 216)
Inequivalent atoms, fractional coordinates:
Ce1 0.0000 0.0000 0.0000
Pu1 0.0000 0.0000 0.5000
Bi1 0.2500 0.2500 0.2500
Sb1 0.2500 0.2500 0.7500

---

Quick one: most stable of them? entry one

---

Entry one
CeBi2Rh2: relaxed, PBE-GGA.

As for the calculated volume: 24.27 Å³ per atom.

Cell: 4.7456 4.8115 10.6934 Å, 90.00 96.24 90.00°
Space group P2_1/m (No. 11)
Inequivalent atoms, fractional coordinates:
Ce1 0.1640 0.2500 0.1634
Bi1 0.2465 0.2500 0.4890
Bi2 0.3213 0.2500 0.8054
Rh1 0.2163 0.7500 0.3400
Rh2 0.3697 0.7500 0.9459

---

Entry two
CeBi2Rh2: relaxed, PBE-GGA.

As for the calculated volume: 23.65 Å³ per atom.

Cell: 6.7626 4.8338 7.3025 Å, 90.00 97.88 90.00°
Space group P2_1/m (No. 11)
Inequivalent atoms, fractional coordinates:
Ce1 0.1423 0.2500 0.1508
Bi1 0.1583 0.7500 0.4880
Bi2 0.4523 0.2500 0.8037
Rh1 0.2205 0.7500 0.8909
Rh2 0.4270 0.2500 0.3914

---

Quick one: most stable of them? entry one

---

Entry one
Ce6BiRu2: relaxed, PBE-GGA.

As for the calculated volume: 26.11 Å³ per atom.

Cell: 15.4218 9.0065 7.6305 Å, 90.00 117.50 90.00°
Space group C2/c (No. 15)
Inequivalent atoms, fractional coordinates:
Ce1 0.0925 0.1261 0.2265
Ce2 0.1538 0.4859 0.0044
Ce3 0.1734 0.2129 0.6136
Bi1 0.0000 0.2146 0.7500
Ru1 0.2037 0.1191 0.0420

---

Entry two
Ce6BiRu2: relaxed, PBE-GGA.

As for the calculated volume: 25.29 Å³ per atom.

Cell: 10.7962 4.6707 9.0343 Å, 90.00 92.20 90.00°
Space group C2/m (No. 12)
Inequivalent atoms, fractional coordinates:
Ce1 0.0810 0.0000 0.3629
Ce2 0.0887 0.5000 0.6735
Ce3 0.2125 0.5000 0.1127
Bi1 0.0000 0.0000 0.0000
Ru1 0.2441 0.5000 0.3823

---

Quick one: most stable of them? entry two

---

Entry one
Ce3BiRu: relaxed, PBE-GGA.

As for the calculated volume: 30.32 Å³ per atom.

Cell: 5.3323 5.3323 5.3323 Å, 90.00 90.00 90.00°
Space group Pm-3m (No. 221)
Inequivalent atoms, fractional coordinates:
Ce1 0.0000 0.0000 0.5000
Bi1 0.5000 0.5000 0.5000
Ru1 0.0000 0.0000 0.0000

---

Entry two
Ce3BiRu: relaxed, PBE-GGA.

As for the calculated volume: 27.80 Å³ per atom.

Cell: 8.1072 4.4711 8.5806 Å, 90.00 116.64 90.00°
Space group P2_1/m (No. 11)
Inequivalent atoms, fractional coordinates:
Ce1 0.0264 0.2500 0.2451
Ce2 0.3450 0.7500 0.5959
Ce3 0.3527 0.2500 0.9185
Bi1 0.2980 0.7500 0.1864
Ru1 0.1114 0.2500 0.6202

---

Quick one: most stable of them? entry two

---

Entry one
CeBiS3: relaxed, PBE-GGA.

As for the calculated volume: 25.46 Å³ per atom.

Cell: 7.4958 7.1768 9.5409 Å, 90.00 97.28 90.00°
Space group P2_1/c (No. 14)
Inequivalent atoms, fractional coordinates:
Ce1 0.0472 0.2354 0.1574
Bi1 0.4322 0.7289 0.5821
S1 0.1237 0.6140 0.1077
S2 0.2084 0.0613 0.9321
S3 0.3431 0.5243 0.8024

---

Entry two
CeBiS3: relaxed, PBE-GGA.

As for the calculated volume: 32.76 Å³ per atom.

Cell: 7.0512 4.3273 10.8871 Å, 90.00 99.53 90.00°
Space group P2_1/m (No. 11)
Inequivalent atoms, fractional coordinates:
Ce1 0.2463 0.2500 0.0768
Bi1 0.3840 0.2500 0.6382
S1 0.0303 0.7500 0.1318
S2 0.3983 0.2500 0.3611
S3 0.4782 0.2500 0.8822

---

Quick one: most stable of them? entry two

---

Entry one
Ce5Bi2Sb: relaxed, PBE-GGA.

As for the calculated volume: 31.41 Å³ per atom.

Cell: 8.4637 12.7448 4.6584 Å, 90.00 90.00 90.00°
Space group Pbam (No. 55)
Inequivalent atoms, fractional coordinates:
Ce1 0.0000 0.0000 0.0000
Ce2 0.1450 0.2804 0.0000
Ce3 0.2306 0.5615 0.5000
Bi1 0.0892 0.8195 0.5000
Sb1 0.0000 0.5000 0.0000

---

Entry two
Ce5Bi2Sb: relaxed, PBE-GGA.

As for the calculated volume: 30.31 Å³ per atom.

Cell: 6.0868 11.1452 14.2989 Å, 90.00 90.00 90.00°
Space group Cmcm (No. 63)
Inequivalent atoms, fractional coordinates:
Ce1 0.0000 0.0537 0.2500
Ce2 0.0000 0.0963 0.5562
Ce3 0.0000 0.4270 0.5783
Bi1 0.0000 0.2875 0.1190
Sb1 0.0000 0.2555 0.7500

---

Quick one: most stable of them? entry one